The following is a PBE-GGA calculation of an optimized crystal structure of LiInTc, from Alexandria via LeMat-Bulk.

Distance to the lowest polymorph of the same formula, meV per atom: 193
Energy of formation, eV per atom: 0.32
Raw total energy, eV per atom: -4.6900
SG: No. 42

a = 7.303 Å, b = 7.129 Å, c = 2.798 Å
α = 82.34°, β = 75.35°, γ = 22.32°
Element x y z (fractional)
In: 0.002 0.002 0.998
Li: 0.328 0.328 0.672
Tc: 0.670 0.670 0.330